# SmGdPt | Alexandria | PBE | relaxed
# distance to the lowest polymorph of the same formula: 0.0 meV/atom
# M_tot: 7.2 μB/f.u.
# final energy: -9.073 eV per atom
# crystal system: cubic
data_SmGdPt
_chemical_formula_sum 'Sm1 Gd1 Pt1'
_space_group_name_H-M_alt 'P 1'
_space_group_IT_number 1
_cell_length_a 4.9365
_cell_length_b 4.9365
_cell_length_c 4.9365
_cell_angle_alpha 60.00
_cell_angle_beta 60.00
_cell_angle_gamma 60.00
loop_
_space_group_symop_operation_xyz
'x,y,z'
loop_
_atom_site_label
_atom_site_fract_x
_atom_site_fract_y
_atom_site_fract_z
Sm1 0.0000 0.0000 0.0000
Gd1 0.5000 0.5000 0.5000
Pt1 0.2500 0.2500 0.2500